Computed, not measured: a relaxed LiDy3Y3S8 crystal at the PBE level of DFT.

Calculated values
Formation energy from raw total energies ... -2.004 eV/atom
DFT total energy ... -98.2 eV per formula unit
SG ... R-3m (166)

Unit cell a=7.773 b=7.773 c=7.773 alpha=59.97 beta=59.97 gamma=59.97
Positions (direct):
Li 0.000 0.000 0.000
Dy 0.000 0.500 0.500
Dy 0.500 0.000 0.500
Dy 0.500 0.500 0.000
Y 0.000 0.000 0.500
Y 0.000 0.500 0.000
Y 0.500 0.000 0.000
S 0.245 0.245 0.754
S 0.245 0.754 0.245
S 0.246 0.755 0.755
S 0.250 0.250 0.250
S 0.750 0.750 0.750
S 0.754 0.245 0.245
S 0.755 0.246 0.755
S 0.755 0.755 0.246

---

Computed, not measured: a relaxed BaTe2Os crystal at the PBE level of DFT.

Calculated values
Energy above the lowest structure with this stoichiometry ... 805 meV/atom
Formation energy from raw total energies ... 0.363 eV/atom
DFT total energy ... -18.0 eV per formula unit
SG ... P4/mmm (123)

Unit cell a=5.334 b=5.334 c=3.740 alpha=90.00 beta=90.00 gamma=90.00
Positions (direct):
Ba 0.000 0.000 0.000
Te 0.000 0.500 0.500
Te 0.500 0.000 0.500
Os 0.500 0.500 0.000

---

Computed, not measured: a relaxed GaGe2As4 crystal at the PBE level of DFT.

Calculated values
Calculated formation energy ... 162 meV per atom
DFT total energy ... -29.7 eV per formula unit
SG ... I4/m (87)

Unit cell a=5.960 b=5.960 c=5.960 alpha=107.21 beta=107.21 gamma=114.09
Positions (direct):
Ga 0.000 0.000 0.000
Ge 0.250 0.750 0.500
Ge 0.750 0.250 0.500
As 0.199 0.684 0.883
As 0.316 0.199 0.515
As 0.684 0.801 0.485
As 0.801 0.316 0.117